Record 1
## Gd2SiO5 (PBE)

Data for a relaxed Gd2SiO5 crystal.

a b c (Å): 7.157 6.777 9.199
angles (deg): 72.49 90.00 90.00
Fractional positions:
O  0.879  0.554  0.615
O  0.736  0.047  0.094
O  0.573  0.645  0.793
O  0.073  0.855  0.207
O  0.121  0.446  0.385
O  0.957  0.753  0.868
O  0.621  0.054  0.615
O  0.457  0.747  0.132
O  0.427  0.355  0.207
O  0.543  0.253  0.868
O  0.927  0.145  0.793
O  0.764  0.547  0.094
O  0.637  0.492  0.384
O  0.379  0.946  0.385
O  0.363  0.508  0.616
O  0.236  0.453  0.906
O  0.264  0.953  0.906
O  0.137  0.008  0.616
O  0.863  0.992  0.384
O  0.043  0.247  0.132
Gd  0.851  0.417  0.886
Gd  0.625  0.767  0.524
Gd  0.649  0.917  0.886
Gd  0.375  0.233  0.476
Gd  0.875  0.267  0.524
Gd  0.125  0.733  0.476
Gd  0.149  0.583  0.114
Gd  0.351  0.083  0.114
Si  0.415  0.462  0.798
Si  0.585  0.538  0.202
Si  0.085  0.962  0.798
Si  0.915  0.038  0.202

E_form (uncorrected) (eV per formula unit): -26.36
Space group: P2_1/c (14)
Calculated volume (Å³/cell): 425.5
Crystal system: monoclinic

---

Record 2
## GdSiO4 (PBE)

Data for a relaxed GdSiO4 crystal.

a b c (Å): 3.730 8.739 9.042
angles (deg): 90.00 90.00 90.00
Fractional positions:
O  0.263  0.202  0.144
O  0.763  0.593  0.075
O  0.763  0.720  0.545
O  0.763  0.093  0.425
O  0.763  0.798  0.856
O  0.263  0.586  0.666
O  0.763  0.414  0.334
O  0.763  0.298  0.644
O  0.263  0.086  0.834
O  0.263  0.407  0.925
O  0.763  0.914  0.166
O  0.263  0.907  0.575
O  0.263  0.280  0.455
O  0.263  0.702  0.356
O  0.263  0.780  0.045
O  0.763  0.220  0.955
Si  0.263  0.219  0.962
Si  0.263  0.719  0.538
Si  0.763  0.281  0.462
Si  0.763  0.781  0.038
Gd  0.763  0.014  0.700
Gd  0.263  0.986  0.300
Gd  0.763  0.514  0.800
Gd  0.263  0.486  0.200

E_form (uncorrected) (eV per formula unit): -15.98
Space group: Pnma (62)
Calculated volume (Å³/cell): 294.7
Crystal system: orthorhombic

---

Record 3
## Sm3GdO (PBE)

Data for a relaxed Sm3GdO crystal.

a b c (Å): 5.044 5.044 5.044
angles (deg): 90.00 90.00 90.00
Fractional positions:
Sm  0.500  0.000  0.000
Sm  0.000  0.500  0.000
Sm  0.000  0.000  0.500
O  0.000  0.000  0.000
Gd  0.500  0.500  0.500

E_form (uncorrected) (eV per formula unit): -5.45
Space group: Pm-3m (221)
Calculated volume (Å³/cell): 128.3
Crystal system: cubic